(1)
## GaTePd (PBE)

Data for a geometry-optimized GaTePd structure.

Results
**Space-group type**: No. 216

```
GaTePd
1.0
0.000 3.290 3.290
3.290 0.000 3.290
3.290 3.290 0.000
Ga Te Pd
1 1 1
Cartesian
0.000 0.000 0.000 Ga
1.645 1.645 1.645 Te
3.290 3.290 3.290 Pd
```

***

(2)
## Th2Ga5Pd3 (PBE)

Data for a geometry-optimized Th2Ga5Pd3 structure.

Results
**Space-group type**: No. 72

```
Th2Ga5Pd3
1.0
-5.141 6.288 2.988
5.141 -6.288 2.988
5.141 6.288 -2.988
Th Ga Pd
4 10 6
Cartesian
2.360 1.695 0.000 Th
2.360 -1.695 2.988 Th
2.781 7.983 0.000 Th
2.781 4.593 2.988 Th
5.141 -2.722 1.494 Ga
6.772 1.296 0.000 Ga
0.000 0.000 1.494 Ga
1.631 4.993 0.000 Ga
5.141 2.722 1.494 Ga
0.000 3.566 1.494 Ga
3.510 1.296 2.988 Ga
0.000 0.000 4.482 Ga
-1.631 4.993 2.988 Ga
0.000 9.010 1.494 Ga
4.074 -4.517 2.988 Pd
5.141 0.000 1.494 Pd
4.074 4.517 0.000 Pd
1.067 1.771 2.988 Pd
0.000 6.288 1.494 Pd
1.067 10.805 0.000 Pd
```

***

(3)
## ThGa4Pd6 (PBE)

Data for a geometry-optimized ThGa4Pd6 structure.

Results
**Space-group type**: No. 187

```
ThGa4Pd6
1.0
7.376 0.000 0.000
-3.688 6.388 0.000
0.000 0.000 3.964
Th Ga Pd
1 4 6
Cartesian
0.000 0.000 0.000 Th
0.000 4.259 0.000 Ga
2.227 1.286 1.982 Ga
5.150 1.286 1.982 Ga
3.688 3.817 1.982 Ga
0.000 2.516 1.982 Pd
-1.509 5.130 1.982 Pd
3.688 0.426 0.000 Pd
2.213 2.981 0.000 Pd
1.509 5.130 1.982 Pd
5.164 2.981 0.000 Pd
```

***

(4)
## ThGaPd2 (PBE)

Data for a geometry-optimized ThGaPd2 structure.

Results
**Space-group type**: No. 62

```
ThGaPd2
1.0
7.714 0.000 0.000
0.000 7.040 0.000
0.000 0.000 5.842
Th Ga Pd
4 4 8
Cartesian
0.337 1.760 0.938 Th
3.520 5.280 3.858 Th
4.194 1.760 1.983 Th
7.377 5.280 4.904 Th
0.866 5.280 1.974 Ga
2.991 1.760 4.895 Ga
4.723 5.280 0.947 Ga
6.848 1.760 3.867 Ga
1.406 0.347 3.431 Pd
1.406 3.173 3.431 Pd
2.451 3.867 0.510 Pd
2.451 6.693 0.510 Pd
5.263 0.347 5.331 Pd
5.263 3.173 5.331 Pd
6.308 3.867 2.411 Pd
6.308 6.693 2.411 Pd
```

***

Number 1: calculated density 7.08 g/cm³, E -11.3 eV per cell. Number 2: calculated density 9.73 g/cm³, E -106.2 eV per cell. Number 3: calculated density 10.22 g/cm³, E -58.9 eV per cell. Number 4: calculated density 10.77 g/cm³, E -96.9 eV per cell.